Record 1
CsBPb2N: relaxed, PBE.

Values from the calculation:
formation energy (no corrections)	2.51	eV/atom

```
data_CsBPb2N
_chemical_formula_sum 'Cs1 B1 Pb2 N1'
_space_group_name_H-M_alt 'P 4/m m m'
_space_group_IT_number 123
_space_group_name_Hall '-P 4 2'
_cell_length_a 6.353
_cell_length_b 6.353
_cell_length_c 4.263
_cell_angle_alpha 90.00
_cell_angle_beta 90.00
_cell_angle_gamma 90.00
loop_
_atom_site_label
_atom_site_type_symbol
_atom_site_fract_x
_atom_site_fract_y
_atom_site_fract_z
Cs1 Cs 0.000 0.000 0.000
B1 B 0.500 0.500 0.500
Pb1 Pb 0.000 0.500 0.000
N1 N 0.000 0.000 0.500
```

=====

Record 2
SnPt2Br: relaxed, PBE.

Values from the calculation:
formation energy (no corrections)	0.23	eV/atom
E above lowest polymorph	42	meV per atom

```
data_SnPt2Br
_chemical_formula_sum 'Sn4 Pt8 Br4'
_space_group_name_H-M_alt 'F m -3 m'
_space_group_IT_number 225
_space_group_name_Hall '-F 4 2 3'
_cell_length_a 6.750
_cell_length_b 6.750
_cell_length_c 6.750
_cell_angle_alpha 90.00
_cell_angle_beta 90.00
_cell_angle_gamma 90.00
loop_
_atom_site_label
_atom_site_type_symbol
_atom_site_fract_x
_atom_site_fract_y
_atom_site_fract_z
Sn1 Sn 0.000 0.000 0.000
Pt1 Pt 0.250 0.250 0.250
Br1 Br 0.000 0.000 0.500
```

=====

Which formula does entry 2 have?
SnPt2Br